Entry 1:
VASP calculation (PBE) on a geometry-optimized LiTl2Sb2 structure.

Geometry as POSCAR:
```
LiTl2Sb2
1.0
4.4477 -0.0126 1.8679
1.4118 5.5646 2.7576
-0.1016 0.7102 6.3282
Li Tl Sb
1 2 2
Direct
0.5000 0.5000 0.0000 Li
0.3060 0.1966 0.6966 Tl
0.6940 0.8034 0.3034 Tl
0.0000 0.2366 0.2634 Sb
0.0000 0.7634 0.7366 Sb
```

Computed properties:
Size of the total moment   0.00 Bohr magnetons per cell
Distance to the lowest polymorph of the same formula   0.0 meV per atom
ΔE_f (raw)   -11 kJ per mole of atoms
Final energy   -3.090 eV per atom
Space-group type   C2/m

---

Entry 2:
VASP calculation (PBE) on a geometry-optimized Li4TlSb2 structure.

Geometry as POSCAR:
```
Li4TlSb2
1.0
-0.1673 3.2938 3.4363
-1.4579 -1.1939 4.3742
6.9346 -1.0278 4.6236
Li Tl Sb
4 1 2
Direct
0.8709 0.8709 0.3872 Li
0.1291 0.1291 0.6128 Li
0.6158 0.6158 0.1525 Li
0.3842 0.3842 0.8475 Li
0.0000 0.0000 0.0000 Tl
0.7520 0.7520 0.7441 Sb
0.2480 0.2480 0.2559 Sb
```

Computed properties:
Size of the total moment   0.00 Bohr magnetons per cell
Distance to the lowest polymorph of the same formula   0.0 meV per atom
ΔE_f (raw)   -41 kJ per mole of atoms
Final energy   -3.030 eV per atom
Space-group type   R-3m

---

Entry 3:
VASP calculation (PBE) on a geometry-optimized LiTlSb structure.

Geometry as POSCAR:
```
LiTlSb
1.0
4.5117 -0.0021 0.0100
-2.2532 4.3534 -0.0191
-0.0207 -2.0374 8.6200
Li Tl Sb
2 2 2
Direct
0.9321 0.7402 0.9991 Li
0.2092 0.2932 0.9102 Li
0.7661 0.4077 0.6054 Tl
0.0332 0.9417 0.3427 Tl
0.4944 0.8640 0.8047 Sb
0.6620 0.1995 0.1365 Sb
```

Computed properties:
Size of the total moment   0.00 Bohr magnetons per cell
Distance to the lowest polymorph of the same formula   13.9 meV per atom
ΔE_f (raw)   -23 kJ per mole of atoms
Final energy   -3.041 eV per atom
Space-group type   Cm

---

Entry 4:
VASP calculation (PBE) on a geometry-optimized LiTl2Sb2 structure.

Geometry as POSCAR:
```
LiTl2Sb2
1.0
8.2820 0.0000 0.0000
0.0000 8.2820 0.0000
0.0000 0.0000 4.4373
Sb Tl Li
4 4 2
Direct
0.1260 0.6260 0.5000 Sb
0.6260 0.8740 0.5000 Sb
0.8740 0.3740 0.5000 Sb
0.3740 0.1260 0.5000 Sb
0.3367 0.8367 0.0000 Tl
0.8367 0.6633 0.0000 Tl
0.6633 0.1633 0.0000 Tl
0.1633 0.3367 0.0000 Tl
0.0000 0.0000 0.0000 Li
0.5000 0.5000 0.0000 Li
```

Computed properties:
Size of the total moment   0.00 Bohr magnetons per cell
Distance to the lowest polymorph of the same formula   161.6 meV per atom
ΔE_f (raw)   5 kJ per mole of atoms
Final energy   -2.928 eV per atom
Space-group type   P4/mbm

---

Entry 5:
VASP calculation (PBE) on a geometry-optimized LiTlSb2 structure.

Geometry as POSCAR:
```
LiTlSb2
1.0
5.2169 -0.0156 0.0155
3.6270 3.7498 0.0155
1.4250 0.6017 5.8733
Sb Tl Li
2 1 1
Direct
0.9969 0.9969 0.0757 Sb
0.5031 0.5031 0.4243 Sb
0.7500 0.7500 0.7500 Tl
0.2500 0.2500 0.2500 Li
```

Computed properties:
Size of the total moment   0.00 Bohr magnetons per cell
Distance to the lowest polymorph of the same formula   21.1 meV per atom
ΔE_f (raw)   -17 kJ per mole of atoms
Final energy   -3.308 eV per atom
Space-group type   C2/m

---

Entry 6:
VASP calculation (PBE) on a geometry-optimized LiTlSb structure.

Geometry as POSCAR:
```
LiTlSb
1.0
4.8438 -0.0537 0.1319
2.3747 4.2221 0.1319
2.8260 1.6319 8.5349
Li Tl Sb
2 2 2
Direct
0.8322 0.8322 0.9022 Li
0.1678 0.1678 0.0978 Li
0.2653 0.2653 0.6367 Tl
0.7347 0.7347 0.3633 Tl
0.4809 0.4809 0.1669 Sb
0.5191 0.5191 0.8331 Sb
```

Computed properties:
Size of the total moment   0.00 Bohr magnetons per cell
Distance to the lowest polymorph of the same formula   2.9 meV per atom
ΔE_f (raw)   -24 kJ per mole of atoms
Final energy   -3.052 eV per atom
Space-group type   C2/m

---

Entry 7:
VASP calculation (PBE) on a geometry-optimized LiTl2Sb structure.

Geometry as POSCAR:
```
LiTl2Sb
1.0
4.7446 0.0000 0.0000
2.3723 4.1087 0.0185
2.3723 1.3383 6.2246
Li Tl Sb
1 2 1
Direct
0.1347 0.8974 0.8333 Li
0.9067 0.6703 0.5164 Tl
0.6977 0.4606 0.1441 Tl
0.4713 0.2337 0.8237 Sb
```

Computed properties:
Size of the total moment   0.00 Bohr magnetons per cell
Distance to the lowest polymorph of the same formula   0.0 meV per atom
ΔE_f (raw)   -18 kJ per mole of atoms
Final energy   -2.883 eV per atom
Space-group type   R3m

---

Entry 8:
VASP calculation (PBE) on a geometry-optimized LiTlSb structure.

Geometry as POSCAR:
```
LiTlSb
1.0
3.2554 -0.0065 -0.0076
1.5629 4.6132 -0.0026
1.2363 0.2021 10.7018
Li Tl Sb
2 2 2
Direct
0.7791 0.1015 0.1084 Li
0.0997 0.5803 0.9699 Li
0.6579 0.0843 0.4127 Tl
0.2039 0.5952 0.6529 Tl
0.4552 0.6482 0.2133 Sb
0.8581 0.1411 0.8443 Sb
```

Computed properties:
Size of the total moment   0.00 Bohr magnetons per cell
Distance to the lowest polymorph of the same formula   19.5 meV per atom
ΔE_f (raw)   -23 kJ per mole of atoms
Final energy   -3.036 eV per atom
Space-group type   P1